(1)
4
Lattice="3.6973 0.0000 0.0000 1.8486 3.2019 0.0000 1.8486 1.0673 8.7053" Properties=species:S:1:pos:R:3 comment="NaBiCl2 meta-GGA SCAN single point on PBEsol structure" raw_formation_energy_ev_per_atom=-1.223 total_energy_ev_per_atom=-25.911 sg="R-3m, No. 166" rho_g_cm3=4.88 pbc="T T T"
Bi 0.0000 0.0000 0.0000
Na 3.6973 2.1346 4.3527
Cl 5.5459 3.2019 2.6930
Cl 1.8486 1.0673 6.0123

(2)
4
Lattice="2.9849 0.0000 0.0000 1.4924 5.1716 0.0935 1.4924 2.4395 4.5611" Properties=species:S:1:pos:R:3 comment="TeOs2Br meta-GGA SCAN single point on PBEsol structure" raw_formation_energy_ev_per_atom=1.525 total_energy_ev_per_atom=-48.592 polymorph_energy_ev_per_atom=0.466 sg="Immm, No. 71" rho_g_cm3=14.00 pbc="T T T"
Br 1.4924 3.8056 2.3273
Os 2.9849 1.9012 1.1627
Os 2.9849 5.7099 3.4919
Te 1.4924 0.0000 0.0000

(3)
14
Lattice="6.7585 0.0000 0.0000 3.3793 5.8531 0.0000 3.3793 1.9510 5.5183" Properties=species:S:1:pos:R:3 comment="LiNi2S4 meta-GGA SCAN single point on PBEsol structure" raw_formation_energy_ev_per_atom=-0.595 total_energy_ev_per_atom=-11.059 sg="Fd-3m, No. 227" rho_g_cm3=3.84 pbc="T T T"
S 11.6253 6.7119 4.7460
S 5.2710 3.0432 2.1519
S 8.6503 6.7119 4.7460
S 8.2460 3.0432 2.1519
S 10.1378 5.8531 2.3169
S 10.1378 4.1354 4.7460
S 6.7585 5.6196 2.1519
S 6.7585 3.9020 4.5809
Ni 5.0689 4.8775 3.4489
Ni 8.4482 4.8775 3.4489
Ni 6.7585 1.9510 3.4489
Ni 6.7585 3.9020 0.6898
Li 0.0000 0.0000 0.0000
Li 3.3793 1.9510 1.3796

(4)
4
Lattice="4.7062 0.0000 0.0000 0.0000 4.7062 0.0000 -2.3531 -2.3531 4.5980" Properties=species:S:1:pos:R:3 comment="YInSb2 meta-GGA SCAN single point on PBEsol structure" raw_formation_energy_ev_per_atom=-0.490 total_energy_ev_per_atom=-34.428 sg="I4/mmm, No. 139" rho_g_cm3=7.29 pbc="T T T"
In 0.0000 0.0000 0.0000
Sb 2.3531 0.0000 2.2990
Sb 0.0000 2.3531 2.2990
Y 2.3531 2.3531 0.0000

Please write out number 3 again, unchanged.
14
Lattice="6.7585 0.0000 0.0000 3.3793 5.8531 0.0000 3.3793 1.9510 5.5183" Properties=species:S:1:pos:R:3 comment="LiNi2S4 meta-GGA SCAN single point on PBEsol structure" raw_formation_energy_ev_per_atom=-0.595 total_energy_ev_per_atom=-11.059 sg="Fd-3m, No. 227" rho_g_cm3=3.84 pbc="T T T"
S 11.6253 6.7119 4.7460
S 5.2710 3.0432 2.1519
S 8.6503 6.7119 4.7460
S 8.2460 3.0432 2.1519
S 10.1378 5.8531 2.3169
S 10.1378 4.1354 4.7460
S 6.7585 5.6196 2.1519
S 6.7585 3.9020 4.5809
Ni 5.0689 4.8775 3.4489
Ni 8.4482 4.8775 3.4489
Ni 6.7585 1.9510 3.4489
Ni 6.7585 3.9020 0.6898
Li 0.0000 0.0000 0.0000
Li 3.3793 1.9510 1.3796